Entry 1:
{
  "formula": "Li2AlTlMo",
  "functional": "PBE-GGA",
  "state": "relaxed",
  "spacegroup": "No. 123",
  "e_tot_ev_per_atom": -3.23,
  "cell": [[5.0970, 0.0000, 0.0000], [0.0000, 4.9340, 0.0000], [0.0000, 0.0000, 5.0970]],
  "species": ["Mo", "Tl", "Al", "Li", "Li"],
  "frac_coords": [[0.0000, 0.0000, 0.0000], [0.5000, 0.5000, 0.5000], [0.0000, 0.5000, 0.0000], [0.0000, 0.0000, 0.5000], [0.5000, 0.0000, 0.0000]]
}

***

Entry 2:
{
  "formula": "Li2YAlMo",
  "functional": "PBE-GGA",
  "state": "relaxed",
  "spacegroup": "No. 123",
  "e_tot_ev_per_atom": -3.26,
  "cell": [[4.2712, 0.0000, 0.0000], [0.0000, 5.2179, 0.0000], [0.0000, 0.0000, 4.2712]],
  "species": ["Li", "Li", "Y", "Al", "Mo"],
  "frac_coords": [[0.5000, 0.0000, 0.0000], [0.0000, 0.0000, 0.5000], [0.0000, 0.0000, 0.0000], [0.0000, 0.5000, 0.0000], [0.5000, 0.5000, 0.5000]]
}

***

Entry 3:
{
  "formula": "LiAl3N",
  "functional": "PBE-GGA",
  "state": "relaxed",
  "spacegroup": "No. 221",
  "raw_formation_energy_kj_per_mol_atoms": 6.93,
  "cell": [[-3.7655, 1.5027, 0.6531], [-0.6834, 0.0473, -4.0489], [-1.4891, -3.8214, 0.2067]],
  "species": ["N", "Al", "Al", "Al", "Li"],
  "frac_coords": [[0.0000, 0.0000, 0.0000], [0.0000, 0.0000, 0.5000], [0.0000, 0.5000, 0.0000], [0.5000, 0.0000, 0.0000], [0.5000, 0.5000, 0.5000]]
}

***

Entry 4:
{
  "formula": "LiAlN2",
  "functional": "PBE-GGA",
  "state": "relaxed",
  "spacegroup": "No. 166",
  "raw_formation_energy_kj_per_mol_atoms": 74.88,
  "cell": [[5.8744, 2.7793, -0.3421], [6.4981, -0.2374, -0.2595], [5.7100, 1.1007, -2.9212]],
  "species": ["N", "N", "Li", "Al"],
  "frac_coords": [[0.0945, 0.0945, 0.0945], [0.9055, 0.9055, 0.9055], [0.5000, 0.5000, 0.5000], [0.0000, 0.0000, 0.0000]]
}

***

Entry 5:
{
  "formula": "LiAl3N",
  "functional": "PBE-GGA",
  "state": "relaxed",
  "spacegroup": "No. 221",
  "raw_formation_energy_kj_per_mol_atoms": 126.09,
  "cell": [[-0.9350, 3.8577, -1.7217], [-2.3140, 1.0076, 3.5144], [3.5344, 1.6803, 1.8454]],
  "species": ["Al", "Al", "Al", "Li", "N"],
  "frac_coords": [[0.0000, 0.0000, 0.5000], [0.5000, 0.0000, 0.0000], [0.0000, 0.5000, 0.0000], [0.0000, 0.0000, 0.0000], [0.5000, 0.5000, 0.5000]]
}

***

Entry 6:
{
  "formula": "Li3AlN2",
  "functional": "PBE-GGA",
  "state": "relaxed",
  "spacegroup": "No. 206",
  "raw_formation_energy_kj_per_mol_atoms": -81.89,
  "cell": [[8.2429, 0.0000, 0.0000], [-2.7476, 7.7715, 0.0000], [-2.7476, -3.8857, 6.7304]],
  "species": ["Li", "Li", "Li", "Li", "Li", "Li", "Li", "Li", "Li", "Li", "Li", "Li", "Li", "Li", "Li", "Li", "Li", "Li", "Li", "Li", "Li", "Li", "Li", "Li", "N", "N", "N", "N", "N", "N", "N", "N", "N", "N", "N", "N", "N", "N", "N", "N", "Al", "Al", "Al", "Al", "Al", "Al", "Al", "Al"],
  "frac_coords": [[0.2627, 0.4862, 0.0275], [0.4725, 0.7373, 0.0138], [0.7627, 0.7352, 0.7765], [0.7648, 0.0275, 0.5413], [0.7765, 0.5413, 0.5138], [0.9862, 0.2235, 0.9587], [0.9725, 0.9587, 0.7352], [0.4587, 0.9862, 0.7235], [0.2352, 0.9725, 0.4587], [0.5275, 0.2627, 0.9862], [0.4862, 0.5275, 0.7627], [0.5413, 0.0138, 0.2765], [0.2648, 0.7235, 0.7373], [0.7373, 0.5138, 0.9725], [0.2235, 0.4587, 0.4862], [0.7352, 0.2765, 0.2627], [0.0138, 0.7765, 0.0413], [0.5138, 0.4725, 0.2373], [0.9587, 0.2352, 0.4725], [0.2373, 0.2648, 0.2235], [0.7235, 0.2373, 0.7648], [0.2765, 0.7627, 0.2352], [0.0275, 0.0413, 0.2648], [0.0413, 0.7648, 0.5275], [0.7161, 0.9661, 0.7500], [0.5339, 0.7500, 0.2839], [0.7500, 0.2839, 0.5339], [0.7500, 0.7839, 0.0339], [0.5000, 0.5000, 0.5000], [0.9661, 0.2500, 0.2161], [0.2500, 0.7161, 0.4661], [0.5000, 0.0000, 0.0000], [0.0339, 0.7500, 0.7839], [0.2839, 0.0339, 0.2500], [0.7839, 0.5339, 0.2500], [0.2161, 0.4661, 0.7500], [0.4661, 0.2500, 0.7161], [0.2500, 0.2161, 0.9661], [0.0000, 0.5000, 0.0000], [0.0000, 0.0000, 0.5000], [0.7302, 0.0000, 0.0000], [0.5000, 0.2698, 0.5000], [0.0000, 0.5000, 0.2302], [0.0000, 0.5000, 0.7698], [0.5000, 0.7302, 0.5000], [0.2698, 0.0000, 0.0000], [0.7698, 0.7698, 0.2698], [0.2302, 0.2302, 0.7302]]
}

***

Entry 7:
{
  "formula": "LiAlN2",
  "functional": "PBE-GGA",
  "state": "relaxed",
  "spacegroup": "No. 166",
  "raw_formation_energy_kj_per_mol_atoms": 3.21,
  "cell": [[-2.5018, -4.3911, 3.0743], [-1.9025, -5.5921, 0.3172], [0.3224, -5.3891, 2.4177]],
  "species": ["N", "N", "Al", "Li"],
  "frac_coords": [[0.1107, 0.1107, 0.1107], [0.8893, 0.8893, 0.8893], [0.5000, 0.5000, 0.5000], [0.0000, 0.0000, 0.0000]]
}

***

Entry 8:
{
  "formula": "LiAlN2",
  "functional": "PBE-GGA",
  "state": "relaxed",
  "spacegroup": "No. 122",
  "raw_formation_energy_kj_per_mol_atoms": -8.39,
  "cell": [[4.2341, 0.0000, 0.0000], [0.0000, 4.2341, 0.0000], [2.1170, 2.1170, 5.5249]],
  "species": ["N", "N", "N", "N", "Li", "Li", "Al", "Al"],
  "frac_coords": [[0.7513, 0.1250, 0.2500], [0.9987, 0.6250, 0.2500], [0.8750, 0.0013, 0.7500], [0.3750, 0.2487, 0.7500], [0.2500, 0.7500, 0.5000], [0.5000, 0.5000, 0.0000], [0.0000, 0.0000, 0.0000], [0.7500, 0.2500, 0.5000]]
}